No. 1
# Tc2BPd

A relaxed structure of Tc2BPd (PBE, Alexandria via LeMat-Bulk).

a b c (Å): 3.620 3.620 9.089
angles (deg): 78.51 78.51 90.00
Atoms (fractional coordinates):
B1 0.500 0.500 0.000
B2 0.250 0.750 0.500
Tc1 0.576 0.125 0.250
Tc2 0.174 0.625 0.250
Tc3 0.375 0.424 0.750
Tc4 0.875 0.826 0.750
Pd1 0.000 0.000 0.000
Pd2 0.750 0.250 0.500

Computed properties:
Raw total energy: -7.38 eV per atom
Space group: I-42d (122)
Energy of formation from the pure elements: 766 meV/atom
Theoretical density: 9.10 g/cm³

=====

No. 2
# TcBPd

A relaxed structure of TcBPd (PBE, Alexandria via LeMat-Bulk).

a b c (Å): 5.670 2.972 8.774
angles (deg): 90.00 90.05 90.00
Atoms (fractional coordinates):
B1 0.136 0.000 0.558
B2 0.864 0.000 0.442
B3 0.136 0.500 0.058
B4 0.864 0.500 0.942
Tc1 0.883 0.000 0.141
Tc2 0.117 0.000 0.859
Tc3 0.883 0.500 0.641
Tc4 0.117 0.500 0.359
Pd1 0.616 0.000 0.863
Pd2 0.384 0.000 0.137
Pd3 0.616 0.500 0.363
Pd4 0.384 0.500 0.637

Computed properties:
Raw total energy: -7.52 eV per atom
Space group: C2/m (12)
Energy of formation from the pure elements: -112 meV/atom
Offset from the most stable computed form: 37 meV per atom
Theoretical density: 9.67 g/cm³

=====

No. 3
# TcB3Pd

A relaxed structure of TcB3Pd (PBE, Alexandria via LeMat-Bulk).

a b c (Å): 3.961 3.961 3.961
angles (deg): 90.00 90.00 90.00
Atoms (fractional coordinates):
B1 0.000 0.500 0.000
B2 0.000 0.000 0.500
B3 0.500 0.000 0.000
Tc1 0.500 0.500 0.500
Pd1 0.000 0.000 0.000

Computed properties:
Raw total energy: -5.39 eV per atom
Space group: Pm-3m (221)
Energy of formation from the pure elements: 1727 meV/atom
Offset from the most stable computed form: 631 meV per atom
Theoretical density: 6.33 g/cm³

=====

No. 4
# TcBPd

A relaxed structure of TcBPd (PBE, Alexandria via LeMat-Bulk).

a b c (Å): 4.222 2.899 6.019
angles (deg): 90.00 100.93 90.00
Atoms (fractional coordinates):
B1 0.051 0.000 0.986
B2 0.792 0.500 0.903
Tc1 0.252 0.500 0.775
Tc2 0.721 0.000 0.606
Pd1 0.610 0.000 0.140
Pd2 0.161 0.500 0.335

Computed properties:
Raw total energy: -7.47 eV per atom
Space group: Pm (6)
Energy of formation from the pure elements: -60 meV/atom
Offset from the most stable computed form: 90 meV per atom
Theoretical density: 9.88 g/cm³

=====

Question: The lowest raw total energy belongs to which entry?
Answer: number 2